A relaxed structure of MnGaAg3, computed with PBE. Values from VASP.

Structure (Quantum ESPRESSO input):
```
&SYSTEM
  ibrav = 0, nat = 5, ntyp = 3
/
ATOMIC_SPECIES
Mn 54.94 Mn.upf
Ga 69.72 Ga.upf
Ag 107.87 Ag.upf
ATOMIC_POSITIONS crystal
Mn 0.000 0.000 0.000
Ga 0.500 0.500 0.500
Ag 0.000 0.000 0.500
Ag 0.000 0.500 0.000
Ag 0.500 0.000 0.000
CELL_PARAMETERS angstrom
5.032 0.000 0.000
0.000 5.032 0.000
0.000 0.000 5.032
```

Results
Its space group is Pm-3m. The value obtained for the calculated density is 5.8 g/cm3. The energy of formation comes out at 0.85 eV/atom. The calculation puts the distance to the lowest polymorph of the same formula at 163 meV per atom.